# 1
A plane-wave DFT calculation with PBE was carried out for a relaxed structure of ZrP2Au.

a b c (Å): 6.5700 6.5700 6.5700
angles (deg): 90.00 90.00 90.00
Last column: nearest neighbours and their distance in Å.
Space group F-43m (No. 216)
Inequivalent atoms, fractional coordinates:
Zr1 0.0000 0.0000 0.0000  4 P 2.84, 4 Au 2.84
P1 0.0000 0.0000 0.5000  4 Au 2.84, 4 P 2.84
P2 0.2500 0.2500 0.2500  4 P 2.84, 4 Zr 2.84
Au1 0.2500 0.2500 0.7500  4 Zr 2.84, 4 P 2.84

Results
Crystal system   cubic
DFT formation energy   0.01 eV/atom
Total moment   0.000 μB per atom
Energy above the most stable polymorph in this dataset   0.5517 eV per atom

---

# 2
A plane-wave DFT calculation with PBE was carried out for a relaxed structure of Nd4Y4Er.

a b c (Å): 11.3823 5.1257 10.8453
angles (deg): 90.00 108.28 90.00
Last column: nearest neighbours and their distance in Å.
Space group C2/m (No. 12)
Inequivalent atoms, fractional coordinates:
Nd1 0.0003 0.0000 0.1681  8 Y 3.60-3.62, 1 Er 3.60, 3 Nd 3.62-3.64
Nd2 0.1669 0.5000 0.3896  3 Er 3.60-3.61, 5 Y 3.61-3.63, 4 Nd 3.61-3.62
Y1 0.1658 0.5000 0.0545  6 Y 3.58-3.63, 6 Nd 3.62-3.63
Y2 0.1670 0.5000 0.7227  7 Nd 3.60-3.61, 3 Y 3.60-3.63, 2 Er 3.62
Er1 0.0000 0.0000 0.5000  8 Nd 3.60-3.61, 4 Y 3.62

Results
Crystal system   monoclinic
DFT formation energy   0.02 eV/atom
Total moment   0.000 μB per atom
Energy above the most stable polymorph in this dataset   0.0000 eV per atom

---

Look up the energy above the most stable polymorph in this dataset of the first one. 0.5517 eV per atom

---

Number 1 is which compound? ZrP2Au